No. 1
The following is a GGA-PBE calculation of crystalline YPd7Au3 at its relaxed geometry, from Alexandria.

```
YPd7Au3
1.0
-4.709 -2.372 4.636
3.293 -4.529 1.026
0.643 4.744 3.081
Pd Au Y
7 3 1
direct
0.111 0.162 0.838 Pd
0.111 0.162 0.323 Pd
0.452 0.835 0.670 Pd
0.452 0.330 0.165 Pd
0.452 0.835 0.165 Pd
0.111 0.677 0.838 Pd
0.131 0.667 0.333 Pd
0.789 0.501 0.003 Au
0.789 0.501 0.499 Au
0.789 0.997 0.499 Au
0.428 0.333 0.667 Y
```

Computed properties:
**Space-group type**: P3m1
**Calculated formation energy**: -0.257 eV/atom

No. 2
The following is a GGA-PBE calculation of crystalline Th4Co2Te5 at its relaxed geometry, from Alexandria.

```
Th4Co2Te5
1.0
-3.803 -1.042 0.322
2.078 -7.380 0.658
-0.266 4.407 11.116
Th Te Co
4 5 2
direct
0.500 0.700 0.206 Th
0.500 0.198 0.445 Th
0.500 0.802 0.555 Th
0.500 0.300 0.794 Th
0.000 0.525 0.351 Te
0.000 0.475 0.649 Te
0.000 0.500 0.000 Te
0.000 0.025 0.223 Te
0.000 0.975 0.777 Te
0.000 0.122 0.599 Co
0.000 0.878 0.401 Co
```

Computed properties:
**Space-group type**: P2/m
**Formation energy without anion corrections**: -0.936 eV/atom

No. 3
The following is a GGA-PBE calculation of crystalline Ba2As5Pd3 at its relaxed geometry, from Alexandria.

```
Ba2As5Pd3
1.0
-4.656 3.605 3.184
-6.335 -5.096 3.544
1.205 0.010 8.787
As Pd Ba
10 6 4
direct
0.250 0.500 0.500 As
0.520 0.230 0.230 As
0.480 0.770 0.770 As
0.889 0.968 0.254 As
0.611 0.746 0.032 As
0.750 0.500 0.500 As
0.389 0.254 0.968 As
0.980 0.770 0.770 As
0.020 0.230 0.230 As
0.111 0.032 0.746 As
0.865 0.739 0.530 Pd
0.250 0.000 0.000 Pd
0.635 0.470 0.261 Pd
0.365 0.530 0.739 Pd
0.135 0.261 0.470 Pd
0.750 0.000 0.000 Pd
0.126 0.612 0.135 Ba
0.626 0.135 0.612 Ba
0.874 0.388 0.865 Ba
0.374 0.865 0.388 Ba
```

Computed properties:
**Space-group type**: Ibam
**Calculated formation energy**: -0.672 eV/atom

No. 4
The following is a GGA-PBE calculation of crystalline TlSBr2 at its relaxed geometry, from Alexandria.

```
TlSBr2
1.0
-5.247 -2.965 0.284
2.631 -4.883 -2.376
0.627 -6.615 6.629
Tl Br S
2 4 2
direct
0.000 0.000 0.000 Tl
0.750 0.250 0.500 Tl
0.515 0.125 0.250 Br
0.235 0.625 0.250 Br
0.875 0.765 0.750 Br
0.375 0.485 0.750 Br
0.250 0.750 0.500 S
0.500 0.500 0.000 S
```

Computed properties:
**Space-group type**: I-42d
**Formation energy without anion corrections**: 0.037 eV/atom
**Energy above the most stable polymorph in this dataset**: 0 meV per atom

Copy entry 2 word for word.
The following is a GGA-PBE calculation of crystalline Th4Co2Te5 at its relaxed geometry, from Alexandria.

```
Th4Co2Te5
1.0
-3.803 -1.042 0.322
2.078 -7.380 0.658
-0.266 4.407 11.116
Th Te Co
4 5 2
direct
0.500 0.700 0.206 Th
0.500 0.198 0.445 Th
0.500 0.802 0.555 Th
0.500 0.300 0.794 Th
0.000 0.525 0.351 Te
0.000 0.475 0.649 Te
0.000 0.500 0.000 Te
0.000 0.025 0.223 Te
0.000 0.975 0.777 Te
0.000 0.122 0.599 Co
0.000 0.878 0.401 Co
```

Computed properties:
**Space-group type**: P2/m
**Formation energy without anion corrections**: -0.936 eV/atom